1.
DFT (GGA-PBE) results for a relaxed structure of PmNdSm3Sc.

a b c (Å): 5.726 6.590 11.516
angles (deg): 90.00 90.00 115.75
Atoms (fractional coordinates):
1 Pm 0.473 0.946 0.750
2 Pm 0.527 0.054 0.250
3 Nd 0.000 0.000 0.500
4 Nd 0.000 0.000 0.000
5 Sm 0.678 0.357 0.530
6 Sm 0.322 0.643 0.470
7 Sm 0.322 0.643 0.030
8 Sm 0.678 0.357 0.970
9 Sm 0.174 0.349 0.750
10 Sm 0.826 0.651 0.250
11 Sc 0.853 0.705 0.750
12 Sc 0.147 0.295 0.250

Computed properties:
- Calculated formation energy: 9.4 kJ per mole of atoms
- VASP energy: -4.904 eV per atom

2.
DFT (GGA-PBE) results for a relaxed structure of CaSiCl2F.

a b c (Å): 5.399 3.747 5.399
angles (deg): 90.00 90.00 90.00
Atoms (fractional coordinates):
1 Ca 0.500 0.500 0.500
2 F 0.000 0.000 0.000
3 Si 0.000 0.500 0.000
4 Cl 0.000 0.000 0.500
5 Cl 0.500 0.000 0.000

Computed properties:
- Energy relative to the elements, uncorrected: -5.16 eV/f.u.
- VASP energy: -3.630 eV per atom

3.
DFT (GGA-PBE) results for a relaxed structure of AcPaCu2O6.

a b c (Å): 5.646 5.646 6.546
angles (deg): 64.45 64.45 60.00
Last column: magnetic moment on the atom in μB.
Atoms (fractional coordinates):
1 Ac 0.000 0.000 0.000  0.01
2 Pa 0.500 0.500 0.500  0.02
3 Cu 0.762 0.762 0.713  0.54
4 Cu 0.238 0.238 0.287  0.54
5 O 0.103 0.439 0.728  0.14
6 O 0.730 0.103 0.728  0.14
7 O 0.561 0.270 0.272  0.14
8 O 0.897 0.561 0.272  0.14
9 O 0.270 0.897 0.272  0.14
10 O 0.439 0.730 0.728  0.14

Computed properties:
- Energy relative to the elements, uncorrected: -22.50 eV/f.u.
- VASP energy: -7.405 eV per atom

4.
DFT (GGA-PBE) results for a relaxed structure of La2RhAu2.

a b c (Å): 8.917 8.917 8.917
angles (deg): 155.18 155.18 35.38
Atoms (fractional coordinates):
1 La 0.596 0.596 0.000
2 La 0.404 0.404 0.000
3 Rh 0.000 0.000 0.000
4 Au 0.250 0.750 0.500
5 Au 0.750 0.250 0.500

Computed properties:
- Polymorph energy (0 for the lowest one): 263 meV per atom
- Calculated formation energy: -51.3 kJ per mole of atoms
- VASP energy: -5.284 eV per atom

5.
DFT (GGA-PBE) results for a relaxed structure of PrNd3Os.

a b c (Å): 5.629 5.629 5.629
angles (deg): 90.00 90.00 90.00
Last column: magnetic moment on the atom in μB.
Atoms (fractional coordinates):
1 Pr 0.500 0.500 0.500  0.22
2 Nd 0.000 0.500 0.000  0.06
3 Nd 0.000 0.000 0.500  0.06
4 Nd 0.500 0.000 0.000  0.06
5 Os 0.000 0.000 0.000  -0.03

Computed properties:
- Polymorph energy (0 for the lowest one): 189 meV per atom
- Calculated formation energy: 11.6 kJ per mole of atoms
- VASP energy: -5.942 eV per atom

6.
DFT (GGA-PBE) results for a relaxed structure of BaTb2S4.

a b c (Å): 4.076 12.350 14.636
angles (deg): 90.00 90.00 90.00
Atoms (fractional coordinates):
1 Ba 0.250 0.758 0.339
2 Ba 0.250 0.258 0.161
3 Ba 0.750 0.242 0.661
4 Ba 0.750 0.742 0.839
5 Tb 0.250 0.432 0.391
6 Tb 0.250 0.932 0.109
7 Tb 0.750 0.568 0.609
8 Tb 0.750 0.068 0.891
9 Tb 0.250 0.421 0.898
10 Tb 0.250 0.921 0.602
11 Tb 0.750 0.579 0.102
12 Tb 0.750 0.079 0.398
13 S 0.250 0.207 0.835
14 S 0.250 0.707 0.665
15 S 0.750 0.793 0.165
16 S 0.750 0.293 0.335
17 S 0.250 0.124 0.523
18 S 0.250 0.624 0.977
19 S 0.750 0.876 0.477
20 S 0.750 0.376 0.023
21 S 0.250 0.023 0.283
22 S 0.250 0.523 0.217
23 S 0.750 0.977 0.717
24 S 0.750 0.477 0.783
25 S 0.250 0.419 0.577
26 S 0.250 0.919 0.923
27 S 0.750 0.581 0.423
28 S 0.750 0.081 0.077

Computed properties:
- Polymorph energy (0 for the lowest one): 0 meV per atom
- Energy relative to the elements, uncorrected: -14.98 eV/f.u.
- VASP energy: -6.097 eV per atom

7.
DFT (GGA-PBE) results for a relaxed structure of CaNdSm2Bi4.

a b c (Å): 4.567 7.975 7.952
angles (deg): 70.74 90.00 90.00
Atoms (fractional coordinates):
1 Ca 0.000 0.500 0.500
2 Nd 0.500 0.500 0.000
3 Sm 0.000 0.000 0.000
4 Sm 0.500 0.000 0.500
5 Bi 0.000 0.753 0.749
6 Bi 0.000 0.247 0.251
7 Bi 0.500 0.754 0.248
8 Bi 0.500 0.246 0.752

Computed properties:
- Calculated formation energy: -82.3 kJ per mole of atoms
- VASP energy: -4.820 eV per atom

8.
DFT (GGA-PBE) results for a relaxed structure of MnIr3Rh.

a b c (Å): 4.407 4.407 4.407
angles (deg): 90.00 90.00 90.00
Atoms (fractional coordinates):
1 Ir 0.000 0.500 0.000
2 Ir 0.000 0.000 0.500
3 Ir 0.500 0.000 0.000
4 Rh 0.500 0.500 0.500
5 Mn 0.000 0.000 0.000

Computed properties:
- Polymorph energy (0 for the lowest one): 1523 meV per atom
- Calculated formation energy: 138.6 kJ per mole of atoms
- VASP energy: -7.184 eV per atom

9.
DFT (GGA-PBE) results for a relaxed structure of LiCa2Ga5Ni2.

a b c (Å): 3.820 9.640 9.640
angles (deg): 90.00 90.00 90.00
Atoms (fractional coordinates):
1 Li 0.000 0.000 0.000
2 Li 0.000 0.500 0.500
3 Ca 0.000 0.683 0.183
4 Ca 0.000 0.317 0.817
5 Ca 0.000 0.183 0.317
6 Ca 0.000 0.817 0.683
7 Ga 0.500 0.210 0.060
8 Ga 0.500 0.790 0.940
9 Ga 0.500 0.060 0.790
10 Ga 0.500 0.710 0.440
11 Ga 0.500 0.940 0.210
12 Ga 0.500 0.290 0.560
13 Ga 0.500 0.560 0.710
14 Ga 0.500 0.440 0.290
15 Ga 0.500 0.500 0.000
16 Ga 0.500 0.000 0.500
17 Ni 0.000 0.112 0.612
18 Ni 0.000 0.888 0.388
19 Ni 0.000 0.612 0.888
20 Ni 0.000 0.388 0.112

Computed properties:
- Calculated formation energy: -39.5 kJ per mole of atoms
- VASP energy: -3.670 eV per atom

10.
DFT (GGA-PBE) results for a relaxed structure of NdMgSc2Pt4.

a b c (Å): 4.573 4.573 8.980
angles (deg): 75.25 75.25 60.00
Atoms (fractional coordinates):
1 Nd 0.000 0.000 0.000
2 Mg 0.500 0.500 0.500
3 Sc 0.761 0.761 0.716
4 Sc 0.239 0.239 0.284
5 Pt 0.396 0.396 0.812
6 Pt 0.871 0.871 0.387
7 Pt 0.129 0.129 0.613
8 Pt 0.604 0.604 0.188

Computed properties:
- Calculated formation energy: -105.4 kJ per mole of atoms
- VASP energy: -6.491 eV per atom

11.
DFT (GGA-PBE) results for a relaxed structure of Sr3CaMg.

a b c (Å): 4.261 9.346 11.749
angles (deg): 101.56 100.47 89.97
Atoms (fractional coordinates):
1 Sr 0.610 0.938 0.476
2 Sr 0.221 0.286 0.699
3 Sr 0.417 0.402 0.091
4 Sr 0.231 0.747 0.720
5 Sr 0.414 0.822 0.085
6 Sr 0.599 0.478 0.455
7 Ca 0.824 0.075 0.905
8 Ca 0.007 0.149 0.270
9 Mg 0.014 0.673 0.286
10 Mg 0.817 0.553 0.890

Computed properties:
- Polymorph energy (0 for the lowest one): 0 meV per atom
- Calculated formation energy: -0.2 kJ per mole of atoms
- VASP energy: -1.731 eV per atom

12.
DFT (GGA-PBE) results for a relaxed structure of PmTmPuMg.

a b c (Å): 5.474 5.474 5.474
angles (deg): 60.00 60.00 60.00
Last column: magnetic moment on the atom in μB.
Atoms (fractional coordinates):
1 Mg 0.750 0.750 0.750  -0.01
2 Tm 0.000 0.000 0.000  0.18
3 Pm 0.500 0.500 0.500  0.14
4 Pu 0.250 0.250 0.250  5.54

Computed properties:
- Calculated formation energy: 15.0 kJ per mole of atoms
- VASP energy: -6.132 eV per atom

Question: Among the records above, which one has the lowest VASP energy?
Answer: AcPaCu2O6

Question: VASP energy of number 8 (MnIr3Rh)?
Answer: -7.184 eV per atom